[1]
6
Lattice="3.970 0.000 0.000 0.000 3.970 0.000 0.000 0.000 7.186" Properties=species:S:1:pos:R:3 comment="PBE BaNaCuClO2, optimized geometry" sg="P4mm, No. 99" energy_ev_per_atom=-4.78 pbc="T T T"
Ba 0.000 0.000 0.000
Na 0.000 0.000 4.013
Cu 1.985 1.985 5.288
Cl 1.985 1.985 1.818
O 0.000 1.985 5.429
O 1.985 0.000 5.429



[2]
16
Lattice="15.904 0.000 0.000 0.000 2.836 2.838 0.000 -2.836 2.838" Properties=species:S:1:pos:R:3 comment="PBE Ba2NbCu2Pb2ClO8, optimized geometry" sg="Amm2, No. 38" energy_ev_per_atom=-6.23 pbc="T T T"
Ba 2.393 0.000 0.000
Ba 13.511 0.000 0.000
Nb 0.000 0.000 2.803
Cu 4.418 0.000 2.865
Cu 11.486 0.000 2.865
Pb 6.055 0.000 0.030
Pb 9.848 0.000 0.030
Cl 7.952 0.000 2.859
O 0.000 -1.439 1.484
O 0.000 1.439 1.484
O 1.995 0.000 2.895
O 4.593 -1.417 1.447
O 4.593 1.417 1.447
O 11.310 -1.417 1.447
O 11.310 1.417 1.447
O 13.909 0.000 2.895



[3]
12
Lattice="6.441 0.000 0.000 -3.221 5.578 0.000 0.000 0.000 9.311" Properties=species:S:1:pos:R:3 comment="PBE BaNdCu2Cl8, optimized geometry" sg="P-3, No. 147" energy_ev_per_atom=-3.98 pbc="T T T"
Ba 0.000 0.000 0.000
Nd 0.000 0.000 4.655
Cu 0.000 3.719 7.032
Cu 3.221 1.859 2.279
Cl -2.139 3.817 2.851
Cl 0.985 1.817 2.851
Cl 2.066 0.056 6.460
Cl 0.000 3.719 9.264
Cl 3.221 1.859 0.047
Cl 1.154 5.523 2.851
Cl 2.236 3.761 6.460
Cl 5.360 1.762 6.460



[4]
12
Lattice="6.306 0.000 0.000 -3.153 5.461 0.000 0.000 0.000 8.592" Properties=species:S:1:pos:R:3 comment="PBE BaCuNi2Cl8, optimized geometry" sg="P-3, No. 147" energy_ev_per_atom=-3.64 pbc="T T T"
Ba 0.000 0.000 0.000
Cu 0.000 0.000 4.296
Ni 0.000 3.641 6.270
Ni 3.153 1.820 2.322
Cl -0.937 1.686 5.812
Cl -1.224 5.430 5.812
Cl 0.992 1.654 2.780
Cl 0.000 3.641 8.500
Cl 3.153 1.820 0.092
Cl 2.161 3.807 5.812
Cl 4.377 0.032 2.780
Cl 4.090 3.775 2.780



[5]
12
Lattice="6.207 0.000 0.000 -3.104 5.376 0.000 0.000 0.000 8.448" Properties=species:S:1:pos:R:3 comment="PBE BaCu2NiCl8, optimized geometry" sg="P-3, No. 147" energy_ev_per_atom=-3.55 pbc="T T T"
Ba 0.000 0.000 0.000
Cu 0.000 3.584 6.120
Cu 3.104 1.792 2.328
Ni 0.000 0.000 4.224
Cl -2.176 3.790 2.844
Cl 0.909 1.595 2.844
Cl 1.836 0.010 5.604
Cl 0.000 3.584 8.385
Cl 3.104 1.792 0.063
Cl 1.267 5.365 2.844
Cl 2.194 3.780 5.604
Cl 5.280 1.585 5.604



[6]
5
Lattice="6.031 0.000 0.000 0.000 6.031 0.000 0.000 0.000 4.564" Properties=species:S:1:pos:R:3 comment="PBE Ba2CuNiCl, optimized geometry" sg="P4/mmm, No. 123" energy_ev_per_atom=-3.02 pbc="T T T"
Ba 0.000 3.016 0.000
Ba 3.016 0.000 0.000
Cu 0.000 0.000 0.000
Ni 3.016 3.016 2.282
Cl 0.000 0.000 2.282



[7]
9
Lattice="6.397 0.000 0.000 -3.199 5.540 0.000 0.000 0.000 6.641" Properties=species:S:1:pos:R:3 comment="PBE BaCuNiCl6, optimized geometry" sg="P312, No. 149" energy_ev_per_atom=-3.67 pbc="T T T"
Ba 0.000 0.000 0.000
Cu 0.000 3.694 3.321
Ni 3.199 1.847 3.321
Cl 2.417 0.030 4.695
Cl 1.235 2.078 1.946
Cl 3.981 0.030 1.946
Cl 2.017 3.432 4.695
Cl 5.163 2.078 4.695
Cl 4.381 3.432 1.946



[8]
22
Lattice="6.656 0.000 0.000 0.000 6.049 0.000 0.000 0.000 10.746" Properties=species:S:1:pos:R:3 comment="PBE Ba3Cu2Cl2O4, optimized geometry" sg="Pmma, No. 51" energy_ev_per_atom=-5.28 pbc="T T T"
Ba 1.664 0.000 0.555
Ba 1.664 0.000 7.555
Ba 1.664 3.024 3.093
Ba 4.992 0.000 3.191
Ba 4.992 0.000 10.191
Ba 4.992 3.024 7.653
Cu 0.000 3.024 0.000
Cu 1.664 3.024 8.946
Cu 3.328 3.024 0.000
Cu 4.992 3.024 1.800
Cl 1.664 0.000 4.117
Cl 1.664 3.024 6.300
Cl 4.992 0.000 6.629
Cl 4.992 3.024 4.446
O 0.204 1.679 9.257
O 0.204 4.369 9.257
O 3.124 1.679 9.257
O 3.124 4.369 9.257
O 3.532 1.679 1.489
O 3.532 4.369 1.489
O 6.452 1.679 1.489
O 6.452 4.369 1.489



| no. | density of states at the Fermi level (states/eV/f.u.) |
| --- | --- |
| 1 | 1.299 |
| 2 | 2.695 |
| 3 | 13.399 |
| 4 | 6.554 |
| 5 | 0.975 |
| 6 | 4.007 |
| 7 | 6.414 |
| 8 | 0.229 |